A relaxed Ac4OsI5 crystal, computed with GGA-PBE.

formation energy (no corrections): -1.11 eV/atom
space group: C2/m
raw total energy: -4.652 eV/atom
mass density: 6.524 Mg/m³
size of the total moment: 0.00 Bohr magnetons per cell

a = 4.4949 Å, b = 9.7405 Å, c = 10.6304 Å
α = 103.84°, β = 102.21°, γ = 90.00°
Sites, in units of the cell vectors:
1 Ac 0.3570 0.9188 0.7140
2 Ac 0.0008 0.7923 0.0015
3 Ac 0.6430 0.0812 0.2860
4 Ac 0.9992 0.2077 0.9985
5 Os 0.5000 0.0000 0.0000
6 I 0.8312 0.6499 0.6623
7 I 0.8242 0.1632 0.6484
8 I 0.1758 0.8368 0.3516
9 I 0.5000 0.5000 0.0000
10 I 0.1688 0.3501 0.3377

=====

A relaxed AcOsI2 crystal, computed with GGA-PBE.

formation energy (no corrections): 0.60 eV/atom
space group: R-3m
raw total energy: -4.005 eV/atom
mass density: 8.016 Mg/m³
size of the total moment: 2.50 Bohr magnetons per cell

a = 3.9743 Å, b = 3.9743 Å, c = 10.4183 Å
α = 79.00°, β = 79.00°, γ = 60.00°
Sites, in units of the cell vectors:
1 I 0.0852 0.0852 0.7445
2 I 0.9148 0.9148 0.2555
3 Ac 0.5000 0.5000 0.5000
4 Os 0.0000 0.0000 0.0000

=====

A relaxed AcOsI crystal, computed with GGA-PBE.

formation energy (no corrections): -0.77 eV/atom
space group: Cm
raw total energy: -6.399 eV/atom
mass density: 8.396 Mg/m³
size of the total moment: 0.00 Bohr magnetons per cell

a = 4.4060 Å, b = 4.3849 Å, c = 13.1342 Å
α = 80.30°, β = 80.34°, γ = 59.84°
Sites, in units of the cell vectors:
1 Ac 0.0459 0.7356 0.1726
2 Ac 0.1564 0.8482 0.8389
3 Os 0.4251 0.1440 0.0058
4 Os 0.7778 0.4385 0.0058
5 I 0.5537 0.2331 0.6594
6 I 0.3243 0.9994 0.3521

=====

A relaxed Ac6OsI12 crystal, computed with GGA-PBE.

formation energy (no corrections): -1.15 eV/atom
space group: R-3m
raw total energy: -4.021 eV/atom
mass density: 6.528 Mg/m³
size of the total moment: 0.00 Bohr magnetons per cell

a = 9.4812 Å, b = 9.4812 Å, c = 9.4812 Å
α = 75.45°, β = 75.45°, γ = 75.45°
Sites, in units of the cell vectors:
1 Ac 0.2165 0.8287 0.2166
2 Ac 0.1713 0.7834 0.7835
3 Ac 0.7834 0.7835 0.1713
4 Ac 0.7835 0.1713 0.7834
5 Ac 0.8287 0.2166 0.2165
6 Ac 0.2166 0.2165 0.8287
7 Os 0.0000 0.0000 0.0000
8 I 0.5502 0.1785 0.5502
9 I 0.1785 0.5502 0.5502
10 I 0.5502 0.5502 0.1785
11 I 0.4498 0.8215 0.4498
12 I 0.8215 0.4498 0.4498
13 I 0.4498 0.4498 0.8215
14 I 0.5537 0.1205 0.1205
15 I 0.8795 0.4463 0.8795
16 I 0.8795 0.8795 0.4463
17 I 0.4463 0.8795 0.8795
18 I 0.1205 0.5537 0.1205
19 I 0.1205 0.1205 0.5537

=====

A relaxed Ac4OsI2 crystal, computed with GGA-PBE.

formation energy (no corrections): -0.61 eV/atom
space group: P2/m
raw total energy: -5.001 eV/atom
mass density: 7.684 Mg/m³
size of the total moment: 0.00 Bohr magnetons per cell

a = 4.3340 Å, b = 7.5869 Å, c = 13.4735 Å
α = 138.74°, β = 90.00°, γ = 90.00°
Sites, in units of the cell vectors:
1 I 0.5000 0.2494 0.4926
2 I 0.5000 0.7506 0.5074
3 Ac 0.5000 0.5544 0.1693
4 Ac 0.0000 0.9238 0.7973
5 Ac 0.5000 0.4456 0.8307
6 Ac 0.0000 0.0762 0.2027
7 Os 0.0000 0.5000 0.0000

=====

A relaxed Ac5Os2I2 crystal, computed with GGA-PBE.

formation energy (no corrections): -0.48 eV/atom
space group: C2/c
raw total energy: -5.606 eV/atom
mass density: 9.028 Mg/m³
size of the total moment: 0.00 Bohr magnetons per cell

a = 8.5205 Å, b = 8.5038 Å, c = 9.9411 Å
α = 90.03°, β = 64.63°, γ = 90.00°
Sites, in units of the cell vectors:
1 Ac 0.0000 0.0000 0.0000
2 Ac 0.5000 0.5000 0.0000
3 Ac 0.4483 0.1548 0.7914
4 Ac 0.7603 0.8446 0.7914
5 Ac 0.2601 0.6548 0.7915
6 Ac 0.9483 0.3446 0.7913
7 Ac 0.5517 0.8452 0.2086
8 Ac 0.2398 0.1554 0.2086
9 Ac 0.7399 0.3452 0.2085
10 Ac 0.0517 0.6554 0.2087
11 Os 0.1412 0.3584 0.0000
12 Os 0.8588 0.6416 0.0000
13 Os 0.3588 0.8584 0.0000
14 Os 0.6412 0.1416 0.0000
15 I 0.2129 0.9998 0.5738
16 I 0.7131 0.4998 0.5738
17 I 0.7871 0.0002 0.4262
18 I 0.2869 0.5002 0.4262

=====

A relaxed Ac8POs3I3 crystal, computed with GGA-PBE.

formation energy (no corrections): -0.62 eV/atom
space group: C2/m
raw total energy: -5.726 eV/atom
mass density: 8.077 Mg/m³
size of the total moment: 0.01 Bohr magnetons per cell

a = 8.9015 Å, b = 8.9063 Å, c = 9.8336 Å
α = 116.92°, β = 90.02°, γ = 120.01°
Sites, in units of the cell vectors:
1 Ac 0.2694 0.5392 0.3092
2 Ac 0.7306 0.4608 0.6908
3 Ac 0.7652 0.5303 0.3162
4 Ac 0.2348 0.4697 0.6838
5 Ac 0.7649 0.0506 0.3158
6 Ac 0.2351 0.9494 0.6842
7 Ac 0.2858 0.0508 0.3162
8 Ac 0.7142 0.9492 0.6838
9 P 0.0000 0.0000 0.5000
10 Os 0.5000 0.0000 0.5000
11 Os 0.5000 0.5000 0.5000
12 Os 0.0000 0.5000 0.5000
13 I 0.0000 0.0000 0.0000
14 I 0.0000 0.5000 0.0000
15 I 0.5000 0.5000 0.0000

=====

A relaxed Ac8POs3I4 crystal, computed with GGA-PBE.

formation energy (no corrections): -0.77 eV/atom
space group: R-3m
raw total energy: -5.658 eV/atom
mass density: 8.374 Mg/m³
size of the total moment: 0.00 Bohr magnetons per cell

a = 8.8825 Å, b = 9.9175 Å, c = 8.8800 Å
α = 116.56°, β = 120.01°, γ = 90.00°
Sites, in units of the cell vectors:
1 Ac 0.2338 0.6823 0.9485
2 Ac 0.2337 0.6821 0.4674
3 Ac 0.2697 0.3089 0.5394
4 Ac 0.7147 0.6823 0.9485
5 Ac 0.2853 0.3177 0.0515
6 Ac 0.7303 0.6911 0.4606
7 Ac 0.7663 0.3179 0.5326
8 Ac 0.7662 0.3177 0.0515
9 P 0.0000 0.5000 0.0000
10 Os 0.5000 0.5000 0.0000
11 Os 0.5000 0.5000 0.5000
12 Os 0.0000 0.5000 0.5000
13 I 0.5000 0.0000 0.0000
14 I 0.5000 0.0000 0.5000
15 I 0.0000 0.0000 0.0000
16 I 0.0000 0.0000 0.5000

=====

A relaxed Ac6POs2I3 crystal, computed with GGA-PBE.

formation energy (no corrections): -0.85 eV/atom
space group: C2/m
raw total energy: -5.610 eV/atom
mass density: 8.197 Mg/m³
size of the total moment: 0.00 Bohr magnetons per cell

a = 7.7050 Å, b = 7.7050 Å, c = 8.8644 Å
α = 98.34°, β = 98.34°, γ = 119.96°
Sites, in units of the cell vectors:
1 Ac 0.9388 0.5912 0.8138
2 Ac 0.7144 0.7144 0.1856
3 Ac 0.0612 0.4088 0.1862
4 Ac 0.5912 0.9388 0.8138
5 Ac 0.2856 0.2856 0.8144
6 Ac 0.4088 0.0612 0.1862
7 P 0.0000 0.0000 0.0000
8 Os 0.3331 0.6669 0.0000
9 Os 0.6669 0.3331 0.0000
10 I 0.1648 0.8352 0.5000
11 I 0.8352 0.1648 0.5000
12 I 0.5000 0.5000 0.5000

=====

A relaxed Ac8Os3PdI4 crystal, computed with GGA-PBE.

formation energy (no corrections): -0.71 eV/atom
space group: R-3m
raw total energy: -5.587 eV/atom
mass density: 8.612 Mg/m³
size of the total moment: 0.00 Bohr magnetons per cell

a = 8.8056 Å, b = 10.0040 Å, c = 8.8076 Å
α = 116.14°, β = 119.99°, γ = 90.00°
Sites, in units of the cell vectors:
1 Ac 0.2346 0.6846 0.9500
2 Ac 0.2345 0.6844 0.4690
3 Ac 0.2715 0.3147 0.5431
4 Ac 0.7154 0.6846 0.9500
5 Ac 0.2846 0.3154 0.0500
6 Ac 0.7285 0.6853 0.4569
7 Ac 0.7655 0.3156 0.5310
8 Ac 0.7654 0.3154 0.0500
9 Os 0.5000 0.5000 0.0000
10 Os 0.5000 0.5000 0.5000
11 Os 0.0000 0.5000 0.5000
12 Pd 0.0000 0.5000 0.0000
13 I 0.5000 0.0000 0.0000
14 I 0.5000 0.0000 0.5000
15 I 0.0000 0.0000 0.0000
16 I 0.0000 0.0000 0.5000

=====

A relaxed Ac8OsPd3I4 crystal, computed with GGA-PBE.

formation energy (no corrections): -0.93 eV/atom
space group: C2/m
raw total energy: -5.046 eV/atom
mass density: 7.897 Mg/m³
size of the total moment: 0.00 Bohr magnetons per cell

a = 8.9052 Å, b = 10.0856 Å, c = 8.8984 Å
α = 116.13°, β = 120.03°, γ = 90.00°
Sites, in units of the cell vectors:
1 Ac 0.2224 0.6867 0.9630
2 Ac 0.2228 0.6872 0.4456
3 Ac 0.2717 0.3137 0.5435
4 Ac 0.7406 0.6867 0.9630
5 Ac 0.2594 0.3133 0.0370
6 Ac 0.7283 0.6863 0.4565
7 Ac 0.7772 0.3128 0.5544
8 Ac 0.7776 0.3133 0.0370
9 Os 0.0000 0.5000 0.0000
10 Pd 0.5000 0.5000 0.0000
11 Pd 0.5000 0.5000 0.5000
12 Pd 0.0000 0.5000 0.5000
13 I 0.5000 0.0000 0.0000
14 I 0.5000 0.0000 0.5000
15 I 0.0000 0.0000 0.0000
16 I 0.0000 0.0000 0.5000

=====

A relaxed Ac4OsPdI2 crystal, computed with GGA-PBE.

formation energy (no corrections): -0.84 eV/atom
space group: P2/m
raw total energy: -5.336 eV/atom
mass density: 8.259 Mg/m³
size of the total moment: 0.00 Bohr magnetons per cell

a = 4.4265 Å, b = 7.6506 Å, c = 9.0241 Å
α = 106.36°, β = 90.00°, γ = 90.00°
Sites, in units of the cell vectors:
1 Ac 0.5000 0.2419 0.1856
2 Ac 0.5000 0.7581 0.8144
3 Ac 0.0000 0.2831 0.8132
4 Ac 0.0000 0.7169 0.1868
5 Os 0.5000 0.5000 0.0000
6 Pd 0.0000 0.0000 0.0000
7 I 0.5000 0.0000 0.5000
8 I 0.0000 0.5000 0.5000